NdInAgAu after structural relaxation. Source: the Alexandria database, functional PBE.

a = 5.041 Å, b = 5.041 Å, c = 5.041 Å
α = 60.00°, β = 60.00°, γ = 60.00°
Element x y z (fractional)
1 Ag 0.250 0.250 0.250
2 In 0.500 0.500 0.500
3 Au 0.750 0.750 0.750
4 Nd 0.000 0.000 0.000

Properties
The calculation puts the volume at 22.65 Å³/atom. As for the energy of formation from the pure elements: -51.2 kJ/mol of atoms.

---

NpInAgAu after structural relaxation. Source: the Alexandria database, functional PBE.

a = 5.001 Å, b = 5.001 Å, c = 5.001 Å
α = 60.00°, β = 60.00°, γ = 60.00°
Element x y z (fractional)
1 Ag 0.250 0.250 0.250
2 Np 0.500 0.500 0.500
3 In 0.000 0.000 0.000
4 Au 0.750 0.750 0.750

Properties
The calculation puts the volume at 22.11 Å³/atom. As for the energy of formation from the pure elements: -1.7 kJ/mol of atoms.

---

In3Ag3AuO8 after structural relaxation. Source: the Alexandria database, functional PBE.

a = 6.656 Å, b = 6.632 Å, c = 9.810 Å
α = 130.87°, β = 90.00°, γ = 120.12°
Element x y z (fractional)
1 O 0.717 0.938 0.326
2 Ag 0.000 0.000 0.000
3 O 0.224 0.448 0.329
4 O 0.221 0.938 0.326
5 O 0.779 0.062 0.674
6 O 0.255 0.510 0.651
7 O 0.776 0.552 0.671
8 In 0.000 0.500 0.500
9 O 0.283 0.062 0.674
10 In 0.500 0.500 0.500
11 O 0.745 0.490 0.349
12 Ag 0.500 0.500 0.000
13 Au 0.000 0.000 0.500
14 In 0.500 0.000 0.500
15 Ag 0.000 0.500 0.000

Properties
As for the energy relative to the elements, uncorrected: -0.757 eV/atom. The calculation puts the volume at 16.33 Å³/atom.

---

In2Ag2AuO6 after structural relaxation. Source: the Alexandria database, functional PBE.

a = 5.705 Å, b = 5.705 Å, c = 6.119 Å
α = 100.55°, β = 100.55°, γ = 120.31°
Element x y z (fractional)
1 Ag 0.827 0.173 0.000
2 In 0.668 0.332 0.500
3 In 0.332 0.668 0.500
4 Ag 0.173 0.827 0.000
5 O 0.768 0.768 0.688
6 O 0.232 0.232 0.312
7 O 0.421 0.078 0.707
8 Au 0.000 0.000 0.500
9 O 0.579 0.922 0.293
10 O 0.922 0.579 0.293
11 O 0.078 0.421 0.707

Properties
As for the energy relative to the elements, uncorrected: -0.607 eV/atom. The calculation puts the volume at 14.54 Å³/atom.

---

InAg2AuO4 after structural relaxation. Source: the Alexandria database, functional PBE.

a = 5.385 Å, b = 5.385 Å, c = 5.385 Å
α = 103.93°, β = 112.31°, γ = 112.31°
Element x y z (fractional)
1 In 0.500 0.250 0.750
2 O 0.858 0.634 0.170
3 O 0.464 0.830 0.688
4 Ag 0.000 0.000 0.000
5 Ag 0.500 0.750 0.250
6 O 0.536 0.224 0.366
7 Au 0.000 0.500 0.500
8 O 0.142 0.312 0.776

Properties
As for the energy relative to the elements, uncorrected: -0.407 eV/atom. The calculation puts the volume at 14.92 Å³/atom.

---

PaInAgAu after structural relaxation. Source: the Alexandria database, functional PBE.

a = 4.982 Å, b = 4.982 Å, c = 4.982 Å
α = 60.00°, β = 60.00°, γ = 60.00°
Element x y z (fractional)
1 Pa 0.000 0.000 0.000
2 Ag 0.750 0.750 0.750
3 Au 0.250 0.250 0.250
4 In 0.500 0.500 0.500

Properties
The calculation puts the volume at 21.86 Å³/atom. As for the energy of formation from the pure elements: -18.9 kJ/mol of atoms.

---

In2AgPb2Au7 after structural relaxation. Source: the Alexandria database, functional PBE.

a = 4.132 Å, b = 4.132 Å, c = 15.771 Å
α = 84.77°, β = 84.77°, γ = 89.56°
Element x y z (fractional)
1 In 0.417 0.417 0.262
2 Au 0.500 0.500 0.000
3 Au 0.337 0.337 0.441
4 Au 0.956 0.455 0.137
5 Au 0.455 0.956 0.137
6 Au 0.663 0.663 0.559
7 Ag 0.000 0.000 0.000
8 In 0.583 0.583 0.738
9 Au 0.545 0.044 0.863
10 Au 0.044 0.545 0.863
11 Pb 0.126 0.126 0.620
12 Pb 0.874 0.874 0.380

Properties
The calculation puts the volume at 22.26 Å³/atom. As for the energy of formation from the pure elements: -4.3 kJ/mol of atoms.

---

In3AgPd2Au3 after structural relaxation. Source: the Alexandria database, functional PBE.

a = 3.012 Å, b = 8.032 Å, c = 8.032 Å
α = 120.00°, β = 90.00°, γ = 90.00°
Element x y z (fractional)
1 Pd 0.500 0.667 0.333
2 In 0.000 0.625 0.625
3 In 0.000 0.000 0.375
4 Au 0.500 0.299 0.299
5 Ag 0.000 0.000 0.000
6 In 0.000 0.375 0.000
7 Pd 0.500 0.333 0.667
8 Au 0.500 0.701 0.000
9 Au 0.500 0.000 0.701

Properties
The calculation puts the volume at 18.70 Å³/atom. As for the energy of formation from the pure elements: -20.1 kJ/mol of atoms.

---

PmInAgAu after structural relaxation. Source: the Alexandria database, functional PBE.

a = 5.018 Å, b = 5.018 Å, c = 5.018 Å
α = 60.00°, β = 60.00°, γ = 60.00°
Element x y z (fractional)
1 Pm 0.750 0.750 0.750
2 In 0.250 0.250 0.250
3 Ag 0.500 0.500 0.500
4 Au 0.000 0.000 0.000

Properties
The calculation puts the volume at 22.34 Å³/atom. As for the energy of formation from the pure elements: -52.0 kJ/mol of atoms.

---

Pr2In4AgAu3 after structural relaxation. Source: the Alexandria database, functional PBE.

a = 4.530 Å, b = 4.530 Å, c = 11.823 Å
α = 90.00°, β = 90.00°, γ = 90.00°
Element x y z (fractional)
1 Pr 0.000 0.500 0.750
2 Au 0.000 0.000 0.500
3 In 0.500 0.500 0.000
4 Pr 0.500 0.000 0.250
5 In 0.000 0.000 0.000
6 Ag 0.500 0.500 0.500
7 Au 0.000 0.500 0.141
8 In 0.500 0.000 0.634
9 Au 0.500 0.000 0.859
10 In 0.000 0.500 0.366

Properties
The calculation puts the volume at 24.27 Å³/atom. As for the energy of formation from the pure elements: -45.3 kJ/mol of atoms.

---

In2AgPtAu after structural relaxation. Source: the Alexandria database, functional PBE.

a = 3.966 Å, b = 3.966 Å, c = 13.105 Å
α = 90.00°, β = 90.00°, γ = 90.00°
Element x y z (fractional)
1 Ag 0.000 0.000 0.500
2 Pt 0.000 0.500 0.910
3 Pt 0.500 0.000 0.090
4 In 0.000 0.500 0.704
5 In 0.000 0.500 0.118
6 Au 0.000 0.500 0.338
7 Au 0.500 0.000 0.662
8 In 0.500 0.000 0.296
9 In 0.500 0.000 0.882
10 Ag 0.500 0.500 0.500

Properties
The calculation puts the volume at 20.61 Å³/atom. As for the energy of formation from the pure elements: -16.7 kJ/mol of atoms.

---

PuInAgAu after structural relaxation. Source: the Alexandria database, functional PBE.

a = 5.018 Å, b = 5.018 Å, c = 5.018 Å
α = 60.00°, β = 60.00°, γ = 60.00°
Element x y z (fractional)
1 Ag 0.250 0.250 0.250
2 Au 0.750 0.750 0.750
3 Pu 0.500 0.500 0.500
4 In 0.000 0.000 0.000

Properties
The calculation puts the volume at 22.33 Å³/atom. As for the energy of formation from the pure elements: -21.3 kJ/mol of atoms.

---

Which of these has the highest volume?
Pr2In4AgAu3